Material: Ba3CaW
Method: DFT, PBE
State: relaxed

The structure belongs to space group Pm-3m (No. 221); the cell edges are 6.185, 6.185 and 6.185 Å and the angles 90.00°, 90.00° and 90.00°. The distinct sites, in fractional coordinates, are Ba at (0.000, 0.000, 0.500), Ca at (0.500, 0.500, 0.500) and W at (0.000, 0.000, 0.000).

Its energy above the most stable polymorph in this dataset is 0 meV per atom.

=====

Material: BaCa3W
Method: DFT, PBE
State: relaxed

The structure belongs to space group Pm-3m (No. 221); the cell edges are 5.852, 5.852 and 5.852 Å and the angles 90.00°, 90.00° and 90.00°. The distinct sites, in fractional coordinates, are Ba at (0.000, 0.000, 0.000), Ca at (0.000, 0.500, 0.500) and W at (0.500, 0.500, 0.500).

Its energy above the most stable polymorph in this dataset is 0 meV per atom.

=====

Material: BaCaW4
Method: DFT, PBE
State: relaxed

The structure belongs to space group F-43m (No. 216); the cell edges are 8.000, 8.000 and 8.000 Å and the angles 90.00°, 90.00° and 90.00°. The distinct sites, in fractional coordinates, are Ba at (0.000, 0.000, 0.000), Ca at (0.250, 0.250, 0.750) and W at (0.125, 0.125, 0.375).

=====

Material: BaCaW2
Method: DFT, PBE
State: relaxed

The structure belongs to space group F-43m (No. 216); the cell edges are 7.174, 7.174 and 7.174 Å and the angles 90.00°, 90.00° and 90.00°. The distinct sites, in fractional coordinates, are Ba at (0.000, 0.000, 0.000), Ca at (0.250, 0.250, 0.250), W at (0.000, 0.000, 0.500) and W at (0.250, 0.250, 0.750).

Its energy above the most stable polymorph in this dataset is 761 meV per atom.

=====

Material: BaCaY2
Method: DFT, PBE
State: relaxed

The structure belongs to space group Imm2 (No. 44); the cell edges are 4.120, 6.231 and 12.347 Å and the angles 90.00°, 90.00° and 90.00°. The distinct sites, in fractional coordinates, are Ba at (0.000, 0.000, 0.000), Ca at (0.000, 0.500, 0.763), Y at (0.000, 0.000, 0.503) and Y at (0.000, 0.500, 0.232).

Its energy above the most stable polymorph in this dataset is 105 meV per atom.

=====

Material: BaCaY2
Method: DFT, PBE
State: relaxed

The structure belongs to space group C2/m (No. 12); the cell edges are 7.384, 12.623 and 3.638 Å and the angles 90.00°, 112.32° and 90.00°. The distinct sites, in fractional coordinates, are Ba at (0.000, 0.000, 0.000), Ca at (0.000, 0.500, 0.000) and Y at (0.250, 0.250, 0.500).

Its energy above the most stable polymorph in this dataset is 119 meV per atom.

=====

Material: BaCa2Y
Method: DFT, PBE
State: relaxed

The structure belongs to space group F-43m (No. 216); the cell edges are 8.786, 8.786 and 8.786 Å and the angles 90.00°, 90.00° and 90.00°. The distinct sites, in fractional coordinates, are Ba at (0.000, 0.000, 0.000), Ca at (0.000, 0.000, 0.500), Ca at (0.250, 0.250, 0.750) and Y at (0.250, 0.250, 0.250).

Its energy above the most stable polymorph in this dataset is 64 meV per atom.

=====

Material: BaCaY2
Method: DFT, PBE
State: relaxed

The structure belongs to space group Cm (No. 8); the cell edges are 12.562, 3.782 and 6.737 Å and the angles 90.00°, 100.32° and 90.00°. The distinct sites, in fractional coordinates, are Ba at (0.000, 0.000, 0.000), Ca at (0.240, 0.000, 0.736), Y at (0.255, 0.500, 0.270) and Y at (0.488, 0.000, 0.477).

Its energy above the most stable polymorph in this dataset is 84 meV per atom.

=====

Material: BaCaY2
Method: DFT, PBE
State: relaxed

The structure belongs to space group P2/m (No. 10); the cell edges are 3.648, 6.169 and 7.128 Å and the angles 90.00°, 100.59° and 90.00°. The distinct sites, in fractional coordinates, are Ba at (0.000, 0.000, 0.000), Ca at (0.500, 0.000, 0.500) and Y at (0.294, 0.500, 0.726).

Its energy above the most stable polymorph in this dataset is 105 meV per atom.

=====

Material: BaCa2Y
Method: DFT, PBE
State: relaxed

The structure belongs to space group Fm-3m (No. 225); the cell edges are 8.789, 8.789 and 8.789 Å and the angles 90.00°, 90.00° and 90.00°. The distinct sites, in fractional coordinates, are Ba at (0.000, 0.000, 0.000), Ca at (0.250, 0.250, 0.250) and Y at (0.000, 0.000, 0.500).

Its energy above the most stable polymorph in this dataset is 53 meV per atom.

=====

Material: BaCaY2
Method: DFT, PBE
State: relaxed

The structure belongs to space group P4mm (No. 99); the cell edges are 3.847, 3.847 and 10.923 Å and the angles 90.00°, 90.00° and 90.00°. The distinct sites, in fractional coordinates, are Ba at (0.000, 0.000, 0.000), Ca at (0.500, 0.500, 0.296), Y at (0.000, 0.000, 0.530) and Y at (0.500, 0.500, 0.730).

Its energy above the most stable polymorph in this dataset is 0 meV per atom.

=====

Material: BaCa2Y
Method: DFT, PBE
State: relaxed

The structure belongs to space group Imm2 (No. 44); the cell edges are 4.259, 6.310 and 12.562 Å and the angles 90.00°, 90.00° and 90.00°. The distinct sites, in fractional coordinates, are Ba at (0.000, 0.000, 0.000), Ca at (0.000, 0.000, 0.507), Ca at (0.000, 0.500, 0.762) and Y at (0.000, 0.500, 0.243).

Its energy above the most stable polymorph in this dataset is 57 meV per atom.

=====

Material: BaCa2Y
Method: DFT, PBE
State: relaxed

The structure belongs to space group P4mm (No. 99); the cell edges are 4.157, 4.157 and 9.948 Å and the angles 90.00°, 90.00° and 90.00°. The distinct sites, in fractional coordinates, are Ba at (0.000, 0.000, 0.000), Ca at (0.000, 0.000, 0.532), Ca at (0.500, 0.500, 0.299) and Y at (0.500, 0.500, 0.736).

Its energy above the most stable polymorph in this dataset is 29 meV per atom.

=====

Material: BaCaY2
Method: DFT, PBE
State: relaxed

The structure belongs to space group Immm (No. 71); the cell edges are 4.119, 6.125 and 12.414 Å and the angles 90.00°, 90.00° and 90.00°. The distinct sites, in fractional coordinates, are Ba at (0.000, 0.000, 0.000), Ca at (0.000, 0.000, 0.500) and Y at (0.000, 0.500, 0.238).

Its energy above the most stable polymorph in this dataset is 97 meV per atom.

=====

Material: BaCaY4
Method: DFT, PBE
State: relaxed

The structure belongs to space group F-43m (No. 216); the cell edges are 9.832, 9.832 and 9.832 Å and the angles 90.00°, 90.00° and 90.00°. The distinct sites, in fractional coordinates, are Ba at (0.000, 0.000, 0.000), Ca at (0.250, 0.250, 0.750) and Y at (0.123, 0.123, 0.377).

=====

Material: Ba2CaY2
Method: DFT, PBE
State: relaxed

The structure belongs to space group I4/mmm (No. 139); the cell edges are 4.544, 4.544 and 24.257 Å and the angles 90.00°, 90.00° and 90.00°. The distinct sites, in fractional coordinates, are Ba at (0.000, 0.000, 0.112), Ca at (0.000, 0.000, 0.500) and Y at (0.000, 0.500, 0.250).

Its energy above the most stable polymorph in this dataset is 37 meV per atom.

=====

Material: BaCa2Y
Method: DFT, PBE
State: relaxed

The structure belongs to space group P4/mmm (No. 123); the cell edges are 4.222, 4.222 and 9.680 Å and the angles 90.00°, 90.00° and 90.00°. The distinct sites, in fractional coordinates, are Ba at (0.000, 0.000, 0.000), Ca at (0.500, 0.500, 0.289) and Y at (0.000, 0.000, 0.500).

Its energy above the most stable polymorph in this dataset is 0 meV per atom.

=====

Material: BaCa2Y
Method: DFT, PBE
State: relaxed

The structure belongs to space group Cmm2 (No. 35); the cell edges are 4.399, 6.185 and 12.498 Å and the angles 90.00°, 90.00° and 90.00°. The distinct sites, in fractional coordinates, are Ba at (0.000, 0.000, 0.000), Ca at (0.000, 0.000, 0.521), Ca at (0.000, 0.500, 0.272) and Y at (0.000, 0.500, 0.748).

Its energy above the most stable polymorph in this dataset is 40 meV per atom.

=====

Material: Ba2CaY2
Method: DFT, PBE
State: relaxed

The structure belongs to space group P4/mbm (No. 127); the cell edges are 10.280, 10.280 and 4.033 Å and the angles 90.00°, 90.00° and 90.00°. The distinct sites, in fractional coordinates, are Ba at (0.128, 0.372, 0.000), Ca at (0.000, 0.000, 0.000) and Y at (0.173, 0.673, 0.500).

Its energy above the most stable polymorph in this dataset is 56 meV per atom.

=====

Material: BaCaY2
Method: DFT, PBE
State: relaxed

The structure belongs to space group Cmmm (No. 65); the cell edges are 4.118, 6.074 and 12.519 Å and the angles 90.00°, 90.00° and 90.00°. The distinct sites, in fractional coordinates, are Ba at (0.000, 0.000, 0.000), Ca at (0.000, 0.000, 0.500) and Y at (0.000, 0.500, 0.263).

Its energy above the most stable polymorph in this dataset is 123 meV per atom.

=====

Results for ΔE_f: 82.1 73.6 87.4 135.0 21.5 22.9 16.3 19.5 21.5 15.2 11.4 15.7 12.9 20.8 24.6 34.0 10.1 14.0 35.8 23.2 (in kJ per mole of atoms, following the order of the records).